1.
Below is a geometry-optimized HoTmMgCd structure, with properties calculated at the PBE-GGA level.

Cell: 5.2760 5.2760 5.2760 Å, 60.00 60.00 60.00°
Atoms (fractional coordinates):
Ho1 0.0000 0.0000 0.0000
Tm1 0.5000 0.5000 0.5000
Mg1 0.7500 0.7500 0.7500
Cd1 0.2500 0.2500 0.2500

Properties
**ρ**: 7525 kg/m3
**Energy relative to the elements**: -191 meV per atom
**SG**: F-43m, No. 216



2.
Below is a geometry-optimized Ho4MgZn2Cd structure, with properties calculated at the PBE-GGA level.

Cell: 8.9548 8.9548 8.9548 Å, 33.50 33.50 33.50°
Atoms (fractional coordinates):
Ho1 0.1241 0.1241 0.1241
Ho2 0.3745 0.3745 0.3745
Ho3 0.6255 0.6255 0.6255
Ho4 0.8759 0.8759 0.8759
Mg1 0.5000 0.5000 0.5000
Zn1 0.2449 0.2449 0.2449
Zn2 0.7551 0.7551 0.7551
Cd1 0.0000 0.0000 0.0000

Properties
**ρ**: 7902 kg/m3
**Energy relative to the elements**: -249 meV per atom
**SG**: R-3m, No. 166



3.
Below is a geometry-optimized Ho4MgZnCd2 structure, with properties calculated at the PBE-GGA level.

Cell: 9.0323 9.0323 9.0323 Å, 33.69 33.69 33.69°
Atoms (fractional coordinates):
Ho1 0.1193 0.1193 0.1193
Ho2 0.3704 0.3704 0.3704
Ho3 0.6296 0.6296 0.6296
Ho4 0.8807 0.8807 0.8807
Mg1 0.5000 0.5000 0.5000
Zn1 0.0000 0.0000 0.0000
Cd1 0.2441 0.2441 0.2441
Cd2 0.7559 0.7559 0.7559

Properties
**ρ**: 8011 kg/m3
**Energy relative to the elements**: -263 meV per atom
**SG**: R-3m, No. 166



4.
Below is a geometry-optimized HoMgZrCd structure, with properties calculated at the PBE-GGA level.

Cell: 5.1292 5.1292 5.1292 Å, 60.00 60.00 60.00°
Atoms (fractional coordinates):
Ho1 0.0000 0.0000 0.0000
Mg1 0.7500 0.7500 0.7500
Zr1 0.5000 0.5000 0.5000
Cd1 0.2500 0.2500 0.2500

Properties
**ρ**: 6837 kg/m3
**Energy relative to the elements**: -46 meV per atom
**SG**: F-43m, No. 216



no.,total magnetic moment (Bohr magnetons per cell)
1,0.0
2,0.0
3,0.0
4,0.0